[1]
## Hf2Zn2Pt (PBE-GGA)

Data for a relaxed structure of Hf2Zn2Pt.

## Properties
Fermi-level density of states: 1.1220 states/eV/atom
E above lowest polymorph: 799 meV per atom
DFT formation energy: 0.307 eV per atom

a b c (Å): 4.7163 4.7163 5.0275
angles (deg): 90.00 90.00 90.00
Closest atoms and distances in Å follow each position.
Space group P4/mmm (No. 123)
One atom of each set of equivalent atoms:
Hf  0.0000  0.0000  0.0000  2 Pt 2.51
Hf  0.5000  0.5000  0.0000  4 Hf 3.33, 8 Zn 3.45
Zn  0.0000  0.5000  0.5000  2 Pt 2.36
Pt  0.0000  0.0000  0.5000  4 Zn 2.36, 2 Hf 2.51

***

[2]
## Sc4NiPt (PBE-GGA)

Data for a relaxed structure of Sc4NiPt.

## Properties
Fermi-level density of states: 1.3719 states/eV/atom
E above lowest polymorph: 0 meV per atom
DFT formation energy: -0.515 eV per atom

a b c (Å): 4.5005 4.5005 6.3880
angles (deg): 90.00 90.00 90.00
Closest atoms and distances in Å follow each position.
Space group P4/mmm (No. 123)
One atom of each set of equivalent atoms:
Sc  0.0000  0.5000  0.2420  2 Ni 2.73, 2 Pt 2.79
Ni  0.0000  0.0000  0.0000  8 Sc 2.73
Pt  0.5000  0.5000  0.5000  8 Sc 2.79

***

[3]
## SnN (PBE-GGA)

Data for a relaxed structure of SnN.

## Properties
formation energy without anion corrections: 0.63 eV/atom
Fermi-level density of states: 0.8169 states/eV/atom

a b c (Å): 4.9030 4.9030 4.9030
angles (deg): 90.00 90.00 90.00
Closest atoms and distances in Å follow each position.
Space group Fm-3m (No. 225)
One atom of each set of equivalent atoms:
Sn  0.0000  0.0000  0.0000  6 N 2.45
N  0.0000  0.0000  0.5000  6 Sn 2.45

***

[4]
## Na12Pb3Cl5 (PBE-GGA)

Data for a relaxed structure of Na12Pb3Cl5.

## Properties
formation energy without anion corrections: -0.79 eV/atom
Fermi-level density of states: 0.4774 states/eV/atom

a b c (Å): 17.3505 17.3505 17.3505
angles (deg): 90.00 90.00 90.00
Closest atoms and distances in Å follow each position.
Space group Ia-3d (No. 230)
One atom of each set of equivalent atoms:
Na  0.0260  0.0641  0.6505  2 Cl 2.68-2.87
Pb  0.0000  0.2500  0.1250  8 Na 3.29-3.33
Cl  0.0000  0.0000  0.0000  6 Na 2.87
Cl  0.0000  0.2500  0.3750  4 Na 2.68

***

[5]
## NdSbBr (PBE-GGA)

Data for a relaxed structure of NdSbBr.

## Properties
formation energy without anion corrections: -0.92 eV/atom
Fermi-level density of states: 0.8487 states/eV/atom

a b c (Å): 5.1895 5.1895 3.7103
angles (deg): 90.00 90.00 120.00
Closest atoms and distances in Å follow each position.
Space group P-6m2 (No. 187)
One atom of each set of equivalent atoms:
Nd  0.0000  0.0000  0.0000  3 Br 3.00
Sb  0.3333  0.6667  0.5000  6 Nd 3.52, 6 Br 3.52, 2 Sb 3.71
Br  0.6667  0.3333  0.0000  3 Nd 3.00

***

[6]
## YBMo (PBE-GGA)

Data for a relaxed structure of YBMo.

## Properties
Fermi-level density of states: 0.6489 states/eV/atom
DFT formation energy: -0.178 eV per atom

a b c (Å): 3.6723 3.6723 7.6865
angles (deg): 90.00 90.00 90.00
Closest atoms and distances in Å follow each position.
Space group P4/nmm (No. 129, origin choice 2)
One atom of each set of equivalent atoms:
Y  0.2500  0.2500  0.1600  4 B 2.81
B  0.2500  0.2500  0.7016  4 Mo 2.40
Mo  0.2500  0.7500  0.5000  4 B 2.40, 4 Mo 2.60

***

[7]
## AlCO4 (PBE-GGA)

Data for a relaxed structure of AlCO4.

## Properties
formation energy without anion corrections: -1.51 eV/atom
Fermi-level density of states: 0.4994 states/eV/atom

a b c (Å): 5.8848 6.8923 5.6914
angles (deg): 90.00 90.00 90.00
Closest atoms and distances in Å follow each position.
Space group Cmcm (No. 63)
One atom of each set of equivalent atoms:
Al  0.0000  0.0718  0.2500  6 O 1.85-1.98
C  0.0000  0.3042  0.7500  4 O 1.34-1.43
O  0.0000  0.1692  0.5597  1 C 1.43
O  0.1864  0.4166  0.7500  1 C 1.34

***

[8]
## Ce2Ga2Ni15 (PBE-GGA)

Data for a relaxed structure of Ce2Ga2Ni15.

## Properties
Fermi-level density of states: 1.4192 states/eV/atom
DFT formation energy: -0.269 eV per atom

a b c (Å): 8.3423 8.3423 12.3166
angles (deg): 90.00 90.00 120.00
Closest atoms and distances in Å follow each position.
Space group R-3m (No. 166, hexagonal axes)
One atom of each set of equivalent atoms:
Ce  0.0000  0.0000  0.1502  15 Ni 2.93-3.20, 1 Ga 3.04
Ga  0.0000  0.0000  0.3970  12 Ni 2.53-2.81, 1 Ga 2.54
Ni  0.0000  0.3005  0.5000  8 Ni 2.42-2.55
Ni  0.0000  0.5000  0.0000  8 Ni 2.41-2.42, 2 Ga 2.53
Ni  0.0006  0.5003  0.3456  8 Ni 2.41-2.55, 1 Ga 2.58

***

[9]
## Hf8TiFe2 (PBE-GGA)

Data for a relaxed structure of Hf8TiFe2.

## Properties
Fermi-level density of states: 1.2768 states/eV/atom
DFT formation energy: 0.069 eV per atom

a b c (Å): 7.9946 12.2099 4.7022
angles (deg): 90.00 104.18 90.00
Closest atoms and distances in Å follow each position.
Space group C2/m (No. 12)
One atom of each set of equivalent atoms:
Hf  0.0000  0.2433  0.0000  2 Fe 2.53
Hf  0.1202  0.5000  0.8175  2 Fe 2.70, 1 Hf 2.87, 1 Ti 2.95
Hf  0.1936  0.1242  0.5731  2 Fe 2.65-2.82
Ti  0.0000  0.0000  0.0000  12 Hf 2.95-3.20
Fe  0.0000  0.3200  0.5000  8 Hf 2.53-2.82

***

[10]
## Ac2Ga6CuPd (PBE-GGA)

Data for a relaxed structure of Ac2Ga6CuPd.

## Properties
Fermi-level density of states: 0.3047 states/eV/atom
DFT formation energy: -0.469 eV per atom

a b c (Å): 12.6189 5.5122 8.9033
angles (deg): 90.00 134.32 90.00
Closest atoms and distances in Å follow each position.
Space group C2/m (No. 12)
One atom of each set of equivalent atoms:
Ac  0.2487  0.0000  0.2083  7 Ga 3.24-3.46, 2 Pd 3.57, 2 Cu 3.59
Ga  0.0086  0.2483  0.2608  1 Cu 2.60, 1 Pd 2.64, 4 Ga 2.71-2.78
Ga  0.2487  0.0000  0.5967  1 Cu 2.61, 1 Pd 2.65, 4 Ga 2.71-2.74
Cu  0.0000  0.0000  0.5000  6 Ga 2.60-2.61
Pd  0.0000  0.5000  0.0000  6 Ga 2.64-2.65

***

[11]
## MgZr2Ti (PBE-GGA)

Data for a relaxed structure of MgZr2Ti.

## Properties
Fermi-level density of states: 1.0830 states/eV/atom
DFT formation energy: 0.243 eV per atom

a b c (Å): 3.0813 3.0813 32.6756
angles (deg): 90.00 90.00 120.00
Closest atoms and distances in Å follow each position.
Space group R-3m (No. 166, hexagonal axes)
One atom of each set of equivalent atoms:
Mg  0.0000  0.0000  0.0000  2 Zr 3.02, 6 Mg 3.08
Zr  0.0000  0.0000  0.0925  3 Ti 3.01, 1 Mg 3.02, 6 Zr 3.08
Ti  0.0000  0.0000  0.5000  6 Zr 3.01, 6 Ti 3.08

***

[12]
## CrH2W (PBE-GGA)

Data for a relaxed structure of CrH2W.

## Properties
Fermi-level density of states: 0.6026 states/eV/atom
E above lowest polymorph: 0 meV per atom

a b c (Å): 2.8452 2.8452 14.4053
angles (deg): 90.00 90.00 120.00
Closest atoms and distances in Å follow each position.
Space group R-3m (No. 166, hexagonal axes)
One atom of each set of equivalent atoms:
Cr  0.0000  0.0000  0.0000  6 H 1.74
H  0.0000  0.0000  0.3729  3 Cr 1.74, 1 W 1.83
W  0.0000  0.0000  0.5000  2 H 1.83

***

[13]
## KZnAg2 (PBE-GGA)

Data for a relaxed structure of KZnAg2.

## Properties
Fermi-level density of states: 0.3703 states/eV/atom
DFT formation energy: 0.167 eV per atom

a b c (Å): 3.0705 5.6221 10.5987
angles (deg): 90.00 90.00 90.00
Closest atoms and distances in Å follow each position.
Space group Immm (No. 71)
One atom of each set of equivalent atoms:
K  0.0000  0.0000  0.0000  2 K 3.07, 4 Zn 3.20
Zn  0.0000  0.0000  0.5000  4 Ag 2.68
Ag  0.0000  0.5000  0.2071  2 Zn 2.68

***

[14]
## Ca2Ga3HgPt4 (PBE-GGA)

Data for a relaxed structure of Ca2Ga3HgPt4.

## Properties
Fermi-level density of states: 0.4931 states/eV/atom
DFT formation energy: -0.751 eV per atom

a b c (Å): 4.1730 4.1730 11.4118
angles (deg): 90.00 90.00 90.00
Closest atoms and distances in Å follow each position.
Space group P-4m2 (No. 115)
One atom of each set of equivalent atoms:
Ca  0.0000  0.5000  0.2483  4 Pt 3.14, 4 Ga 3.26
Ga  0.0000  0.5000  0.8722  5 Pt 2.44-2.55
Ga  0.5000  0.5000  0.5000  4 Pt 2.76, 4 Hg 2.95
Hg  0.0000  0.0000  0.5000  4 Pt 2.76, 4 Ga 2.95
Pt  0.0000  0.0000  0.0000  4 Ga 2.55
Pt  0.0000  0.5000  0.6579  1 Ga 2.44
Pt  0.5000  0.5000  0.0000  4 Ga 2.55

***

[15]
## LaSm2TmTh (PBE-GGA)

Data for a relaxed structure of LaSm2TmTh.

## Properties
Fermi-level density of states: 1.3902 states/eV/atom
DFT formation energy: 0.312 eV per atom

a b c (Å): 8.6713 6.4315 6.4012
angles (deg): 90.00 98.60 90.00
Closest atoms and distances in Å follow each position.
Space group P2/c (No. 13)
One atom of each set of equivalent atoms:
La  0.0000  0.0000  0.0000  2 La 3.20, 2 Th 3.33, 2 Sm 3.50
Sm  0.3164  0.3142  0.2030  1 Sm 3.15, 1 Th 3.18, 1 Tm 3.49, 1 La 3.50
Tm  0.5000  0.1709  0.7500  8 Sm 3.49-3.74, 2 Tm 3.88
Th  0.0000  0.4543  0.7500  2 Sm 3.18, 2 Th 3.25, 2 La 3.33

***

[16]
## Y2Ho2Th3 (PBE-GGA)

Data for a relaxed structure of Y2Ho2Th3.

## Properties
Fermi-level density of states: 1.2460 states/eV/atom
E above lowest polymorph: 0 meV per atom
DFT formation energy: 0.128 eV per atom

a b c (Å): 22.4513 5.8822 3.4781
angles (deg): 90.00 98.73 90.00
Closest atoms and distances in Å follow each position.
Space group C2/m (No. 12)
One atom of each set of equivalent atoms:
Y  0.1376  0.0000  0.1377  2 Y 3.48, 6 Th 3.51-3.52, 4 Ho 3.63-3.64
Ho  0.0819  0.5000  0.5863  4 Th 3.46-3.61, 3 Ho 3.48-3.64, 4 Y 3.63-3.64
Th  0.0000  0.0000  0.5000  4 Ho 3.46, 2 Th 3.48, 4 Y 3.51-3.52
Th  0.2246  0.5000  0.2265  6 Th 3.48-3.60, 4 Y 3.52, 2 Ho 3.61

***

[17]
## NaPu2Bi (PBE-GGA)

Data for a relaxed structure of NaPu2Bi.

## Properties
Fermi-level density of states: 3.2718 states/eV/atom
DFT formation energy: -0.059 eV per atom

a b c (Å): 4.6452 4.6452 5.0937
angles (deg): 90.00 90.00 90.00
Closest atoms and distances in Å follow each position.
Space group P4/mmm (No. 123)
One atom of each set of equivalent atoms:
Na  0.0000  0.0000  0.0000  4 Bi 3.28, 8 Pu 3.45
Pu  0.0000  0.5000  0.5000  4 Pu 3.28, 4 Na 3.45, 4 Bi 3.45
Bi  0.5000  0.5000  0.0000  4 Na 3.28, 8 Pu 3.45

***

[18]
## MgFe2PdN (PBE-GGA)

Data for a relaxed structure of MgFe2PdN.

## Properties
formation energy without anion corrections: -0.23 eV/atom
Fermi-level density of states: 0.8162 states/eV/atom

a b c (Å): 3.7808 3.7808 4.3074
angles (deg): 90.00 90.00 90.00
Closest atoms and distances in Å follow each position.
Space group P4/mmm (No. 123)
One atom of each set of equivalent atoms:
Mg  0.0000  0.0000  0.0000  2 N 2.15
Fe  0.0000  0.5000  0.5000  2 N 1.89
Pd  0.5000  0.5000  0.0000  4 Mg 2.67, 8 Fe 2.87
N  0.0000  0.0000  0.5000  4 Fe 1.89

***

[19]
## Pr2SmMg3 (PBE-GGA)

Data for a relaxed structure of Pr2SmMg3.

## Properties
Fermi-level density of states: 1.1261 states/eV/atom
DFT formation energy: -0.110 eV per atom

a b c (Å): 3.8896 3.8896 11.7039
angles (deg): 90.00 90.00 90.00
Closest atoms and distances in Å follow each position.
Space group P4/mmm (No. 123)
One atom of each set of equivalent atoms:
Pr  0.0000  0.0000  0.1694  8 Mg 3.39
Sm  0.0000  0.0000  0.5000  8 Mg 3.34
Mg  0.5000  0.5000  0.0000  8 Pr 3.39
Mg  0.5000  0.5000  0.3383  4 Sm 3.34, 4 Pr 3.39

***

[20]
## SnMo3H (PBE-GGA)

Data for a relaxed structure of SnMo3H.

## Properties
Fermi-level density of states: 1.5324 states/eV/atom
E above lowest polymorph: 0 meV per atom

a b c (Å): 4.1173 4.1173 4.1173
angles (deg): 90.00 90.00 90.00
Closest atoms and distances in Å follow each position.
Space group Pm-3m (No. 221)
One atom of each set of equivalent atoms:
Sn  0.0000  0.0000  0.0000  12 Mo 2.91
Mo  0.0000  0.5000  0.5000  2 H 2.06
H  0.5000  0.5000  0.5000  6 Mo 2.06

***

[21]
## NpIrS4 (PBE-GGA)

Data for a relaxed structure of NpIrS4.

## Properties
formation energy without anion corrections: -0.82 eV/atom
Fermi-level density of states: 1.1549 states/eV/atom
E above lowest polymorph: 0 meV per atom

a b c (Å): 13.2204 3.7491 5.7602
angles (deg): 90.00 96.76 90.00
Closest atoms and distances in Å follow each position.
Space group C2/m (No. 12)
One atom of each set of equivalent atoms:
Np  0.0000  0.0000  0.0000  6 S 2.56-2.61
Ir  0.0000  0.5000  0.5000  6 S 2.42-2.44
S  0.1057  0.0000  0.4026  2 Ir 2.44, 1 Np 2.56
S  0.1157  0.5000  0.8581  1 Ir 2.42, 2 Np 2.61